# BaHAuF6

BaHAuF6 after structural relaxation (PBE, Alexandria).

a b c (Å): 4.640 5.242 6.228
angles (deg): 94.47 109.24 91.78
Space group P-1 (No. 2)
Unique sites:
1 Ba 0.000 0.000 0.000 x1
2 H 0.500 0.500 0.000 x1
3 Au 0.500 0.500 0.500 x1
4 F 0.135 0.601 0.262 x2
5 F 0.271 0.168 0.458 x2
6 F 0.487 0.714 0.968 x2

=====

# BaLiAuF6

BaLiAuF6 after structural relaxation (PBE, Alexandria).

Calculated values
The calculation puts the raw formation energy at -2.3889 eV/atom.

a b c (Å): 4.880 5.334 6.318
angles (deg): 65.86 85.15 85.05
Space group P1 (No. 1)
Unique sites:
1 Ba 0.000 0.000 0.000 x1
2 Li 0.317 0.314 0.262 x1
3 Au 0.422 0.697 0.612 x1
4 F 0.063 0.475 0.041 x1
5 F 0.134 0.002 0.548 x1
6 F 0.259 0.578 0.394 x1
7 F 0.516 0.072 0.164 x1
8 F 0.555 0.817 0.839 x1
9 F 0.715 0.408 0.654 x1

=====

Calculated total energy values, unit eV/cell, following the record order: -39.3 -39.8.